(1)
This record from Alexandria describes a geometry-optimized Ti2InCo2 structure. The functional is GGA-PBEsol.

Final energy ... -6.982 eV/atom
DFT formation energy ... 18 kJ/mol of formula units
Spin magnetization ... 0.0 μB/f.u.
Fermi-level density of states ... 3.51 states/eV/f.u.
Symmetry ... I4/mmm, No. 139

Cell: 3.5480 3.5480 6.7602 Å, 105.21 105.21 90.00°
Element x y z (fractional)
1 Ti 0.3714 0.3714 0.7428
2 Ti 0.6286 0.6286 0.2572
3 Co 0.2500 0.7500 0.5000
4 Co 0.7500 0.2500 0.5000
5 In 0.0000 0.0000 0.0000

(2)
This record from Alexandria describes a geometry-optimized YTlCd2 structure. The functional is GGA-PBEsol.

Final energy ... -3.213 eV/atom
DFT formation energy ... -97 kJ/mol of formula units
Spin magnetization ... 0.0 μB/f.u.
Fermi-level density of states ... 0.93 states/eV/f.u.
Symmetry ... F-43m, No. 216

Cell: 5.0828 5.0828 5.0828 Å, 60.00 60.00 60.00°
Element x y z (fractional)
1 Y 0.2500 0.2500 0.2500
2 Tl 0.5000 0.5000 0.5000
3 Cd 0.0000 0.0000 0.0000
4 Cd 0.7500 0.7500 0.7500

(3)
This record from Alexandria describes a geometry-optimized ZrMn2Os structure. The functional is GGA-PBEsol.

Final energy ... -10.065 eV/atom
DFT formation energy ... 55 kJ/mol of formula units
Spin magnetization ... 5.0 μB/f.u.
Fermi-level density of states ... 5.25 states/eV/f.u.
Symmetry ... P4/mmm, No. 123

Cell: 3.8107 3.8107 4.0102 Å, 90.00 90.00 90.00°
Each line ends with the local moment (μB).
Element x y z (fractional)
1 Mn 0.0000 0.5000 0.0000  2.39
2 Mn 0.5000 0.0000 0.0000  2.39
3 Os 0.5000 0.5000 0.5000  0.05
4 Zr 0.0000 0.0000 0.5000  -0.07

(4)
This record from Alexandria describes a geometry-optimized Ca2Y2Fe structure. The functional is GGA-PBEsol.

Final energy ... -4.589 eV/atom
DFT formation energy ... 379 kJ/mol of formula units
Spin magnetization ... 2.3 μB/f.u.
Fermi-level density of states ... 10.31 states/eV/f.u.
Symmetry ... I4/mmm, No. 139

Cell: 3.9972 3.9972 9.4853 Å, 102.16 102.16 90.00°
Each line ends with the local moment (μB).
Element x y z (fractional)
1 Y 0.4175 0.4175 0.8350  -0.20
2 Y 0.5825 0.5825 0.1650  -0.20
3 Ca 0.2500 0.7500 0.5000  0.02
4 Ca 0.7500 0.2500 0.5000  0.02
5 Fe 0.0000 0.0000 0.0000  2.71

(5)
This record from Alexandria describes a geometry-optimized YMn3Pb structure. The functional is GGA-PBEsol.

Final energy ... -6.833 eV/atom
DFT formation energy ... 573 kJ/mol of formula units
Spin magnetization ... 10.5 μB/f.u.
Fermi-level density of states ... 8.03 states/eV/f.u.
Symmetry ... Pm-3m, No. 221

Cell: 4.9705 4.9705 4.9705 Å, 90.00 90.00 90.00°
Each line ends with the local moment (μB).
Element x y z (fractional)
1 Pb 0.0000 0.0000 0.0000  -0.10
2 Y 0.5000 0.5000 0.5000  -0.43
3 Mn 0.0000 0.5000 0.0000  3.63
4 Mn 0.0000 0.0000 0.5000  3.63
5 Mn 0.5000 0.0000 0.0000  3.63

(6)
This record from Alexandria describes a geometry-optimized ZrTe2Se structure. The functional is GGA-PBEsol.

Final energy ... -5.200 eV/atom
Formation energy (no corrections) ... -202 meV per atom
Spin magnetization ... 0.0 μB/f.u.
Fermi-level density of states ... 2.92 states/eV/f.u.
Symmetry ... P4/mmm, No. 123

Cell: 4.1328 4.1328 5.6350 Å, 90.00 90.00 90.00°
Element x y z (fractional)
1 Se 0.0000 0.0000 0.5000
2 Te 0.0000 0.5000 0.0000
3 Te 0.5000 0.0000 0.0000
4 Zr 0.5000 0.5000 0.5000

(7)
This record from Alexandria describes a geometry-optimized MgZr2GaCu structure. The functional is GGA-PBEsol.

Final energy ... -4.305 eV/atom
DFT formation energy ... 583 kJ/mol of formula units
Spin magnetization ... 0.0 μB/f.u.
Fermi-level density of states ... 4.86 states/eV/f.u.
Symmetry ... P4/mmm, No. 123

Cell: 4.4970 4.9812 4.9812 Å, 90.00 90.00 90.00°
Element x y z (fractional)
1 Mg 0.0000 0.0000 0.0000
2 Cu 0.5000 0.5000 0.5000
3 Ga 0.5000 0.0000 0.0000
4 Zr 0.0000 0.0000 0.5000
5 Zr 0.0000 0.5000 0.0000

(8)
This record from Alexandria describes a geometry-optimized Y2AlSi structure. The functional is GGA-PBEsol.

Final energy ... -6.344 eV/atom
Formation energy (no corrections) ... -473 meV per atom
Spin magnetization ... 0.0 μB/f.u.
Fermi-level density of states ... 3.66 states/eV/f.u.
Symmetry ... P4/mmm, No. 123

Cell: 3.6613 3.6613 6.4867 Å, 90.00 90.00 90.00°
Element x y z (fractional)
1 Y 0.0000 0.0000 0.7364
2 Y 0.0000 0.0000 0.2636
3 Si 0.5000 0.5000 0.5000
4 Al 0.5000 0.5000 0.0000

(9)
This record from Alexandria describes a geometry-optimized Na24In5O15 structure. The functional is GGA-PBEsol.

Final energy ... -4.113 eV/atom
Formation energy (no corrections) ... -1221 meV per atom
Spin magnetization ... 0.0 μB/f.u.
Fermi-level density of states ... 2.63 states/eV/f.u.
Symmetry ... I-43m, No. 217

Cell: 9.6306 9.6306 9.6306 Å, 109.47 109.47 109.47°
Element x y z (fractional)
1 Na 0.0000 0.5470 0.2820
2 Na 0.2153 0.2153 0.7824
3 Na 0.7824 0.2153 0.2153
4 Na 0.2153 0.7824 0.2153
5 Na 0.2176 0.4329 0.4329
6 Na 0.7847 0.5671 0.0000
7 Na 0.5671 0.0000 0.7847
8 Na 0.4329 0.2176 0.4329
9 Na 0.0000 0.5671 0.7847
10 Na 0.0000 0.7847 0.5671
11 Na 0.7180 0.7180 0.2650
12 Na 0.7350 0.4530 0.4530
13 Na 0.5470 0.0000 0.2820
14 Na 0.0000 0.2820 0.5470
15 Na 0.2820 0.5470 0.0000
16 Na 0.7847 0.0000 0.5671
17 Na 0.4530 0.7350 0.4530
18 Na 0.2820 0.0000 0.5470
19 Na 0.4329 0.4329 0.2176
20 Na 0.5671 0.7847 0.0000
21 Na 0.4530 0.4530 0.7350
22 Na 0.5470 0.2820 0.0000
23 Na 0.7180 0.2650 0.7180
24 Na 0.2650 0.7180 0.7180
25 In 0.2866 0.0000 0.0000
26 In 0.0000 0.0000 0.2866
27 In 0.0000 0.2866 0.0000
28 In 0.0000 0.0000 0.0000
29 In 0.7134 0.7134 0.7134
30 O 0.7868 0.3084 0.0000
31 O 0.2132 0.2132 0.5216
32 O 0.0000 0.5000 0.5000
33 O 0.5216 0.2132 0.2132
34 O 0.3084 0.0000 0.7868
35 O 0.4784 0.6916 0.6916
36 O 0.6916 0.4784 0.6916
37 O 0.0000 0.3084 0.7868
38 O 0.6916 0.6916 0.4784
39 O 0.0000 0.7868 0.3084
40 O 0.2132 0.5216 0.2132
41 O 0.3084 0.7868 0.0000
42 O 0.7868 0.0000 0.3084
43 O 0.5000 0.5000 0.0000
44 O 0.5000 0.0000 0.5000

(10)
This record from Alexandria describes a geometry-optimized PrNi4B structure. The functional is GGA-PBEsol.

Final energy ... -6.564 eV/atom
DFT formation energy ... -247 kJ/mol of formula units
Spin magnetization ... 0.0 μB/f.u.
Fermi-level density of states ... 2.24 states/eV/f.u.
Symmetry ... P6/mmm, No. 191

Cell: 5.0021 5.0021 6.9044 Å, 90.00 90.00 120.00°
Element x y z (fractional)
1 Pr 0.0000 0.0000 0.5000
2 Pr 0.0000 0.0000 0.0000
3 Ni 0.3333 0.6667 0.0000
4 Ni 0.6667 0.3333 0.0000
5 Ni 0.5000 0.0000 0.2922
6 Ni 0.5000 0.5000 0.2922
7 Ni 0.0000 0.5000 0.2922
8 Ni 0.5000 0.0000 0.7078
9 Ni 0.5000 0.5000 0.7078
10 Ni 0.0000 0.5000 0.7078
11 B 0.6667 0.3333 0.5000
12 B 0.3333 0.6667 0.5000

(11)
This record from Alexandria describes a geometry-optimized SnBSbP2 structure. The functional is GGA-PBEsol.

Final energy ... -3.533 eV/atom
Formation energy (no corrections) ... 1950 meV per atom
Spin magnetization ... 0.0 μB/f.u.
Fermi-level density of states ... 4.13 states/eV/f.u.
Symmetry ... P4/mmm, No. 123

Cell: 4.9304 4.9304 5.6068 Å, 90.00 90.00 90.00°
Element x y z (fractional)
1 Sb 0.0000 0.0000 0.5000
2 B 0.5000 0.5000 0.5000
3 Sn 0.0000 0.0000 0.0000
4 P 0.0000 0.5000 0.0000
5 P 0.5000 0.0000 0.0000

(12)
This record from Alexandria describes a geometry-optimized Sb2RhAu structure. The functional is GGA-PBEsol.

Final energy ... -5.334 eV/atom
Formation energy (no corrections) ... -39 meV per atom
Spin magnetization ... 0.0 μB/f.u.
Fermi-level density of states ... 2.31 states/eV/f.u.
Symmetry ... Pmm2, No. 25

Cell: 3.3133 3.7768 6.6230 Å, 90.00 90.00 90.00°
Element x y z (fractional)
1 Au 0.0000 0.0000 0.5102
2 Rh 0.5000 0.5000 0.7425
3 Sb 0.0000 0.0000 0.9200
4 Sb 0.5000 0.5000 0.3273

(13)
This record from Alexandria describes a geometry-optimized Sr2NbC structure. The functional is GGA-PBEsol.

Final energy ... -5.410 eV/atom
DFT formation energy ... 242 kJ/mol of formula units
Spin magnetization ... 1.3 μB/f.u.
Fermi-level density of states ... 3.89 states/eV/f.u.
Symmetry ... I-42d, No. 122

Cell: 4.1986 7.7595 7.7595 Å, 85.80 74.30 74.30°
Each line ends with the local moment (μB).
Element x y z (fractional)
1 Sr 0.2981 0.8269 0.3269  0.03
2 Sr 0.4519 0.1731 0.6731  0.03
3 Sr 0.3750 0.3269 0.1731  0.03
4 Sr 0.8750 0.6731 0.8269  0.03
5 Nb 0.7500 0.5000 0.5000  1.00
6 Nb 0.0000 0.0000 0.0000  1.00
7 C 0.2500 0.5000 0.5000  -0.04
8 C 0.5000 0.0000 0.0000  -0.04